The following is a SCAN calculation of a PBEsol-optimized structure of NaGaC2, from Alexandria via LeMat-Bulk.

Computed properties:
Crystal system: tetragonal
Energy relative to the elements: 1.398 eV per atom

Cell: 4.1237 4.1237 13.1372 Å, 90.00 90.00 90.00°
Space group I4_1/amd (No. 141, origin choice 2)
Symmetry-distinct sites (fractional):
Na1 0.0000 0.2500 0.3750 x4
Ga1 0.0000 0.2500 0.8750 x4
C1 0.0000 0.0000 0.0000 x8